# CaNdH PBE-GGA optimized geometry
data_CaNdH
_space_group_name_H-M_alt 'P 1'
_space_group_IT_number 1
_space_group_name_Hall 'P 1'
_cell_length_a 6.857
_cell_length_b 6.857
_cell_length_c 6.857
_cell_angle_alpha 150.62
_cell_angle_beta 150.62
_cell_angle_gamma 42.03
loop_
_atom_site_label
_atom_site_type_symbol
_atom_site_fract_x
_atom_site_fract_y
_atom_site_fract_z
Ca1 Ca 0.000 0.000 0.000
Nd1 Nd 0.719 0.719 0.000
H1 H 0.191 0.191 0.000
# Magnetization, μB per formula unit: 0.000
# DFT total energy, eV for the cell shown: -10.3
# E above lowest polymorph, kJ/mol of atoms: 9.64
# Symmetry: I4mm

# CaNdH2 PBE-GGA optimized geometry
data_CaNdH2
_space_group_name_H-M_alt 'P 1'
_space_group_IT_number 1
_space_group_name_Hall 'P 1'
_cell_length_a 6.480
_cell_length_b 6.480
_cell_length_c 6.480
_cell_angle_alpha 32.45
_cell_angle_beta 32.45
_cell_angle_gamma 32.45
loop_
_atom_site_label
_atom_site_type_symbol
_atom_site_fract_x
_atom_site_fract_y
_atom_site_fract_z
Ca1 Ca 0.000 0.000 0.000
Nd1 Nd 0.822 0.822 0.822
H1 H 0.231 0.231 0.231
H2 H 0.414 0.414 0.414
# Magnetization, μB per formula unit: 0.612
# DFT total energy, eV for the cell shown: -14.5
# E above lowest polymorph, kJ/mol of atoms: 4.04
# Symmetry: R3m

# CaNdH PBE-GGA optimized geometry
data_CaNdH
_space_group_name_H-M_alt 'P 1'
_space_group_IT_number 1
_space_group_name_Hall 'P 1'
_cell_length_a 6.836
_cell_length_b 6.858
_cell_length_c 6.906
_cell_angle_alpha 95.92
_cell_angle_beta 92.12
_cell_angle_gamma 92.42
loop_
_atom_site_label
_atom_site_type_symbol
_atom_site_fract_x
_atom_site_fract_y
_atom_site_fract_z
Ca1 Ca 0.000 0.000 0.000
Ca2 Ca 0.043 0.501 0.755
Ca3 Ca 0.309 0.453 0.230
Ca4 Ca 0.524 0.220 0.737
Nd1 Nd 0.038 0.969 0.489
Nd2 Nd 0.519 0.957 0.222
Nd3 Nd 0.559 0.724 0.664
Nd4 Nd 0.811 0.466 0.261
H1 H 0.387 0.962 0.526
H2 H 0.557 0.661 0.335
H3 H 0.832 0.118 0.269
H4 H 0.868 0.677 0.546
# Magnetization, μB per formula unit: 0.000
# DFT total energy, eV for the cell shown: -42.5
# E above lowest polymorph, kJ/mol of atoms: 0.00
# Symmetry: P1

Among the records above, which one has the highest magnetization? CaNdH2